First-principles (PBE) data for crystalline La2BeVCd at its relaxed geometry, as listed in the Alexandria database.

* distance to the lowest polymorph of the same formula: 0.000 eV per atom
* size of the total moment: 3.136 μB per cell
* SG: P4/mmm, No. 123
* E_tot: -4.3436 eV per atom

Cell lengths 5.554, 5.554, 4.445 Å; angles 90.00, 90.00, 90.00 degrees
Fractional positions:
La 0.000 0.500 0.000
La 0.500 0.000 0.000
Be 0.000 0.000 0.000
V 0.000 0.000 0.500
Cd 0.500 0.500 0.500

---

First-principles (PBE) data for crystalline La2BeVCd at its relaxed geometry, as listed in the Alexandria database.

* distance to the lowest polymorph of the same formula: 0.680 eV per atom
* size of the total moment: 0.610 μB per cell
* SG: P4/mmm, No. 123
* E_tot: -3.6636 eV per atom

Cell lengths 5.882, 5.882, 4.337 Å; angles 90.00, 90.00, 90.00 degrees
Fractional positions:
La 0.000 0.500 0.000
La 0.500 0.000 0.000
Be 0.000 0.000 0.500
V 0.500 0.500 0.500
Cd 0.000 0.000 0.000

---

First-principles (PBE) data for crystalline LiBeCd2 at its relaxed geometry, as listed in the Alexandria database.

* size of the total moment: 0.000 μB per cell
* SG: R-3m, No. 166
* E_tot: -1.6538 eV per atom

Cell lengths 9.070, 9.070, 9.070 Å; angles 19.10, 19.10, 19.10 degrees
Fractional positions:
Li 0.000 0.000 0.000
Be 0.500 0.500 0.500
Cd 0.242 0.242 0.242
Cd 0.758 0.758 0.758

---

First-principles (PBE) data for crystalline LiBeCd2 at its relaxed geometry, as listed in the Alexandria database.

* size of the total moment: 0.000 μB per cell
* SG: R3m, No. 160
* E_tot: -1.6050 eV per atom

Cell lengths 9.647, 9.647, 9.647 Å; angles 17.38, 17.38, 17.38 degrees
Fractional positions:
Li 0.000 0.000 0.000
Be 0.263 0.263 0.263
Cd 0.520 0.520 0.520
Cd 0.752 0.752 0.752

---

The records above give, respectively, DFT formation energy values of 0.379 1.059 0.214 0.263 eV per atom.